Record 1
Density functional theory data (PBE) for a geometry-optimized CaRuRh structure.

a = 4.4419 Å, b = 4.4419 Å, c = 4.4419 Å
α = 60.00°, β = 60.00°, γ = 60.00°
Site moments in Bohr magnetons follow the coordinates.
Fractional positions:
1 Ru 0.0000 0.0000 0.0000  1.19
2 Ca 0.5000 0.5000 0.5000  -0.01
3 Rh 0.2500 0.2500 0.2500  0.51

Calculated values
Polymorph energy (0 for the lowest one) = 1.882 eV/f.u.
Spin magnetization = 1.74 μB/f.u.
E_form = 469 meV per atom
ρ = 6540 kg/m3

---

Record 2
Density functional theory data (PBE) for a geometry-optimized CuH6N2 structure.

a = 4.0904 Å, b = 7.0333 Å, c = 7.0333 Å
α = 82.30°, β = 75.72°, γ = 75.72°
Fractional positions:
1 Cu 0.2500 0.9434 0.0566
2 Cu 0.7500 0.0566 0.9434
3 H 0.7850 0.3804 0.2865
4 H 0.7150 0.7135 0.6196
5 H 0.2150 0.6196 0.7135
6 H 0.2850 0.2865 0.3804
7 H 0.0481 0.2818 0.6064
8 H 0.4519 0.3936 0.7182
9 H 0.9519 0.7182 0.3936
10 H 0.5481 0.6064 0.2818
11 H 0.7112 0.4992 0.0745
12 H 0.7888 0.9255 0.5008
13 H 0.2888 0.5008 0.9255
14 H 0.2112 0.0745 0.4992
15 N 0.6018 0.4752 0.2202
16 N 0.8982 0.7798 0.5248
17 N 0.3982 0.5248 0.7798
18 N 0.1018 0.2202 0.4752

Calculated values
Spin magnetization = 0.00 μB/f.u.
ρ = 1711 kg/m3

---

Record 3
Density functional theory data (PBE) for a geometry-optimized MgReTc2 structure.

a = 2.7895 Å, b = 2.7895 Å, c = 7.9881 Å
α = 90.00°, β = 90.00°, γ = 90.00°
Fractional positions:
1 Mg 0.0000 0.0000 0.4988
2 Re 0.5000 0.5000 0.7688
3 Tc 0.0000 0.0000 0.0019
4 Tc 0.5000 0.5000 0.2305

Calculated values
Spin magnetization = 0.00 μB/f.u.
E_form = 217 meV per atom
ρ = 10860 kg/m3

---

Record 4
Density functional theory data (PBE) for a geometry-optimized RhWAu2 structure.

a = 4.5214 Å, b = 4.5214 Å, c = 4.5214 Å
α = 60.00°, β = 60.00°, γ = 60.00°
Fractional positions:
1 Rh 0.0000 0.0000 0.0000
2 Au 0.2500 0.2500 0.2500
3 Au 0.7500 0.7500 0.7500
4 W 0.5000 0.5000 0.5000

Calculated values
Polymorph energy (0 for the lowest one) = 1.408 eV/f.u.
Spin magnetization = 0.00 μB/f.u.
E_form = 399 meV per atom
ρ = 17294 kg/m3

---

Record 5
Density functional theory data (PBE) for a geometry-optimized Ac2Te3F structure.

a = 4.5271 Å, b = 13.4662 Å, c = 12.6088 Å
α = 90.00°, β = 90.00°, γ = 90.00°
Fractional positions:
1 Ac 0.2500 0.6748 0.4463
2 Ac 0.7500 0.3252 0.5537
3 Ac 0.7500 0.1748 0.0537
4 Ac 0.2500 0.8252 0.9463
5 Ac 0.2500 0.0170 0.3030
6 Ac 0.7500 0.9830 0.6970
7 Ac 0.7500 0.5170 0.1970
8 Ac 0.2500 0.4830 0.8030
9 Te 0.2500 0.3774 0.0612
10 Te 0.7500 0.6226 0.9388
11 Te 0.7500 0.8774 0.4388
12 Te 0.2500 0.1226 0.5612
13 Te 0.2500 0.7011 0.1786
14 Te 0.7500 0.2989 0.8214
15 Te 0.7500 0.2011 0.3214
16 Te 0.2500 0.7989 0.6786
17 Te 0.2500 0.4294 0.3773
18 Te 0.7500 0.5706 0.6227
19 Te 0.7500 0.9294 0.1227
20 Te 0.2500 0.0706 0.8773
21 F 0.2500 0.1259 0.1354
22 F 0.7500 0.8741 0.8646
23 F 0.7500 0.6259 0.3646
24 F 0.2500 0.3741 0.6354

Calculated values
Polymorph energy (0 for the lowest one) = 0.000 eV/f.u.
Spin magnetization = 0.00 μB/f.u.
ρ = 7395 kg/m3

---

Record 6
Density functional theory data (PBE) for a geometry-optimized PuGaPdPt structure.

a = 4.7362 Å, b = 4.7362 Å, c = 4.7362 Å
α = 60.00°, β = 60.00°, γ = 60.00°
Site moments in Bohr magnetons follow the coordinates.
Fractional positions:
1 Ga 0.5000 0.5000 0.5000  0.00
2 Pd 0.7500 0.7500 0.7500  -0.03
3 Pt 0.2500 0.2500 0.2500  -0.08
4 Pu 0.0000 0.0000 0.0000  4.97

Calculated values
Spin magnetization = 5.03 μB/f.u.
E_form = -558 meV per atom
ρ = 13599 kg/m3

---

Record 7
Density functional theory data (PBE) for a geometry-optimized CuReOs structure.

a = 5.6076 Å, b = 5.6076 Å, c = 5.6076 Å
α = 150.75°, β = 150.75°, γ = 41.84°
Fractional positions:
1 Cu 0.9995 0.9995 0.0000
2 Os 0.3302 0.3302 0.0000
3 Re 0.6702 0.6702 0.0000

Calculated values
Polymorph energy (0 for the lowest one) = 0.264 eV/f.u.
Spin magnetization = 0.00 μB/f.u.
E_form = 255 meV per atom
ρ = 17398 kg/m3

---

Record 8
Density functional theory data (PBE) for a geometry-optimized Li4CdBi structure.

a = 7.9312 Å, b = 7.9312 Å, c = 7.9312 Å
α = 98.97°, β = 98.97°, γ = 133.48°
Fractional positions:
1 Li 0.2544 0.9872 0.7328
2 Li 0.7544 0.4860 0.7316
3 Li 0.7372 0.5044 0.2329
4 Li 0.2360 0.0044 0.2316
5 Li 0.2715 0.5044 0.7672
6 Li 0.7729 0.0044 0.7684
7 Li 0.7544 0.0229 0.2684
8 Li 0.2544 0.5215 0.2671
9 Cd 0.2422 0.2422 0.0000
10 Cd 0.9922 0.4922 0.5000
11 Bi 0.7402 0.7402 0.0000
12 Bi 0.4902 0.9902 0.5000

Calculated values
Polymorph energy (0 for the lowest one) = 1.373 eV/f.u.
Spin magnetization = 0.00 μB/f.u.
E_form = -95 meV per atom
ρ = 3487 kg/m3

---

Record 9
Density functional theory data (PBE) for a geometry-optimized LiTmThNb structure.

a = 5.1084 Å, b = 5.1084 Å, c = 5.1084 Å
α = 60.00°, β = 60.00°, γ = 60.00°
Fractional positions:
1 Nb 0.2500 0.2500 0.2500
2 Tm 0.0000 0.0000 0.0000
3 Th 0.5000 0.5000 0.5000
4 Li 0.7500 0.7500 0.7500

Calculated values
Spin magnetization = 0.00 μB/f.u.
E_form = 210 meV per atom
ρ = 8823 kg/m3

---

Record 10
Density functional theory data (PBE) for a geometry-optimized NiTe2I structure.

a = 8.8859 Å, b = 8.8859 Å, c = 8.8859 Å
α = 25.94°, β = 25.94°, γ = 25.94°
Fractional positions:
1 I 0.0000 0.0000 0.0000
2 Ni 0.5000 0.5000 0.5000
3 Te 0.8822 0.8822 0.8822
4 Te 0.1178 0.1178 0.1178

Calculated values
Spin magnetization = 0.00 μB/f.u.
ρ = 6189 kg/m3

---

Record 11
Density functional theory data (PBE) for a geometry-optimized Cu2SiNi5 structure.

a = 5.9835 Å, b = 5.9835 Å, c = 6.6558 Å
α = 116.71°, β = 116.71°, γ = 90.00°
Fractional positions:
1 Cu 0.1404 0.3596 0.0000
2 Cu 0.6404 0.1404 0.0000
3 Cu 0.3596 0.8596 0.0000
4 Cu 0.8596 0.6404 0.0000
5 Si 0.7500 0.7500 0.5000
6 Si 0.2500 0.2500 0.5000
7 Ni 0.4872 0.6816 0.6687
8 Ni 0.8184 0.0128 0.3313
9 Ni 0.0000 0.0000 0.0000
10 Ni 0.5000 0.5000 0.0000
11 Ni 0.1816 0.9872 0.6687
12 Ni 0.6816 0.1816 0.6687
13 Ni 0.9872 0.4872 0.6687
14 Ni 0.3184 0.8184 0.3313
15 Ni 0.0128 0.5128 0.3313
16 Ni 0.5128 0.3184 0.3313

Calculated values
Polymorph energy (0 for the lowest one) = 0.668 eV/f.u.
Spin magnetization = 0.00 μB/f.u.
ρ = 8100 kg/m3

---

Record 12
Density functional theory data (PBE) for a geometry-optimized HfBRh3 structure.

a = 5.9865 Å, b = 5.9865 Å, c = 5.0435 Å
α = 90.00°, β = 90.00°, γ = 128.15°
Fractional positions:
1 Rh 0.5712 0.9304 0.2500
2 Rh 0.0696 0.4288 0.2500
3 Rh 0.9304 0.5712 0.7500
4 Rh 0.4288 0.0696 0.7500
5 Rh 0.0000 0.0000 0.0000
6 Rh 0.0000 0.0000 0.5000
7 B 0.1659 0.8341 0.2500
8 B 0.8341 0.1659 0.7500
9 Hf 0.5985 0.4015 0.2500
10 Hf 0.4015 0.5985 0.7500

Calculated values
Polymorph energy (0 for the lowest one) = 1.606 eV/f.u.
Spin magnetization = 0.00 μB/f.u.
E_form = -463 meV per atom
ρ = 11636 kg/m3

---

Number 1: DFT total energy -5.741 eV/atom. Number 2: DFT total energy -4.639 eV/atom. Number 3: DFT total energy -8.476 eV/atom. Number 4: DFT total energy -6.315 eV/atom. Number 5: DFT total energy -5.222 eV/atom. Number 6: DFT total energy -7.706 eV/atom. Number 7: DFT total energy -9.003 eV/atom. Number 8: DFT total energy -2.171 eV/atom. Number 9: DFT total energy -5.758 eV/atom. Number 10: DFT total energy -3.553 eV/atom. Number 11: DFT total energy -5.330 eV/atom. Number 12: DFT total energy -8.200 eV/atom.